[1]
# Np2UTl2Se6

Np2UTl2Se6 after structural relaxation (PBE, the Alexandria database).

Computed properties:
total energy	-146.34	eV/cell

Lattice parameters (Å, degrees): 7.277 12.632 8.162 90.00 107.46 90.00
Space group C2/m (No. 12)
Unique sites:
Np: 0.000 0.166 0.000 [4 per cell]
U: 0.000 0.500 0.000 [2 per cell]
Tl: 0.000 0.332 0.500 [4 per cell]
Se: 0.233 0.333 0.201 [8 per cell]
Se: 0.238 0.000 0.203 [4 per cell]



[2]
# Np3UTl4Se8

Np3UTl4Se8 after structural relaxation (PBE, the Alexandria database).

Computed properties:
total energy	-304.54	eV/cell

Lattice parameters (Å, degrees): 8.4589 8.4589 23.3090 90.00 90.00 120.00
Space group R-3m (No. 166, hexagonal axes)
Unique sites:
Np: 0.0000 0.5000 0.0000 [9 per cell]
U: 0.0000 0.0000 0.0000 [3 per cell]
Tl: 0.0000 0.0000 0.5000 [3 per cell]
Tl: 0.0000 0.5000 0.5000 [9 per cell]
Se: 0.0000 0.0000 0.2663 [6 per cell]
Se: 0.0028 0.5014 0.7349 [18 per cell]



[3]
# Np3Tl4VSe8

Np3Tl4VSe8 after structural relaxation (PBE, the Alexandria database).

Computed properties:
total energy	-294.62	eV/cell

Lattice parameters (Å, degrees): 8.1648 8.1648 23.5215 90.00 90.00 120.00
Space group R-3m (No. 166, hexagonal axes)
Unique sites:
Np: 0.0000 0.5000 0.0000 [9 per cell]
Tl: 0.0000 0.0000 0.5000 [3 per cell]
Tl: 0.0000 0.5000 0.5000 [9 per cell]
V: 0.0000 0.0000 0.0000 [3 per cell]
Se: 0.0000 0.0000 0.2640 [6 per cell]
Se: 0.0174 0.5087 0.7325 [18 per cell]



[4]
# Np2Tl2VSe6

Np2Tl2VSe6 after structural relaxation (PBE, the Alexandria database).

Computed properties:
total energy	-139.81	eV/cell

Lattice parameters (Å, degrees): 6.913 11.877 8.247 90.00 107.04 90.00
Space group C2/m (No. 12)
Unique sites:
Np: 0.000 0.167 0.000 [4 per cell]
Tl: 0.000 0.327 0.500 [4 per cell]
V: 0.000 0.500 0.000 [2 per cell]
Se: 0.226 0.344 0.197 [8 per cell]
Se: 0.241 0.500 0.803 [4 per cell]



[5]
# Np2Tl3VSe6

Np2Tl3VSe6 after structural relaxation (PBE, the Alexandria database).

Computed properties:
total energy	-144.78	eV/cell

Lattice parameters (Å, degrees): 7.012 12.116 8.171 90.00 106.62 90.00
Space group C2/m (No. 12)
Unique sites:
Np: 0.000 0.166 0.000 [4 per cell]
Tl: 0.000 0.000 0.500 [2 per cell]
Tl: 0.000 0.327 0.500 [4 per cell]
V: 0.000 0.500 0.000 [2 per cell]
Se: 0.222 0.343 0.196 [8 per cell]
Se: 0.246 0.500 0.798 [4 per cell]



[6]
# NpTl3V2Se6

NpTl3V2Se6 after structural relaxation (PBE, the Alexandria database).

Computed properties:
total energy	-134.84	eV/cell

Lattice parameters (Å, degrees): 6.748 11.674 8.110 90.00 106.18 90.00
Space group C2/m (No. 12)
Unique sites:
Np: 0.000 0.000 0.000 [2 per cell]
Tl: 0.000 0.159 0.500 [4 per cell]
Tl: 0.000 0.500 0.500 [2 per cell]
V: 0.000 0.332 0.000 [4 per cell]
Se: 0.203 0.500 0.185 [4 per cell]
Se: 0.243 0.179 0.192 [8 per cell]



[7]
# YNp3Tl4Se8

YNp3Tl4Se8 after structural relaxation (PBE, the Alexandria database).

Computed properties:
total energy	-296.88	eV/cell

Lattice parameters (Å, degrees): 8.4385 8.4385 23.2659 90.00 90.00 120.00
Space group R-3m (No. 166, hexagonal axes)
Unique sites:
Y: 0.0000 0.0000 0.0000 [3 per cell]
Np: 0.0000 0.5000 0.0000 [9 per cell]
Tl: 0.0000 0.0000 0.5000 [3 per cell]
Tl: 0.0000 0.5000 0.5000 [9 per cell]
Se: 0.0000 0.0000 0.2660 [6 per cell]
Se: 0.0017 0.5008 0.7348 [18 per cell]



[8]
# Y3NpTl3Se8

Y3NpTl3Se8 after structural relaxation (PBE, the Alexandria database).

Computed properties:
total energy	-261.76	eV/cell

Lattice parameters (Å, degrees): 8.3289 8.3289 23.4766 90.00 90.00 120.00
Space group R-3m (No. 166, hexagonal axes)
Unique sites:
Y: 0.0000 0.5000 0.0000 [9 per cell]
Np: 0.0000 0.0000 0.0000 [3 per cell]
Tl: 0.0000 0.5000 0.5000 [9 per cell]
Se: 0.0000 0.0000 0.2652 [6 per cell]
Se: 0.0044 0.5022 0.7338 [18 per cell]



[9]
# Np3Tl3ZnSe8

Np3Tl3ZnSe8 after structural relaxation (PBE, the Alexandria database).

Computed properties:
total energy	-86.80	eV/cell

Lattice parameters (Å, degrees): 8.154 8.286 9.123 63.69 63.51 60.67
Space group P-1 (No. 2)
Unique sites:
Np: 0.000 0.000 0.000 [1 per cell]
Np: 0.000 0.500 0.000 [1 per cell]
Np: 0.500 0.000 0.000 [1 per cell]
Tl: 0.000 0.500 0.500 [1 per cell]
Tl: 0.500 0.000 0.500 [1 per cell]
Tl: 0.500 0.500 0.500 [1 per cell]
Zn: 0.500 0.500 0.000 [1 per cell]
Se: 0.236 0.236 0.793 [2 per cell]
Se: 0.247 0.723 0.808 [2 per cell]
Se: 0.256 0.782 0.205 [2 per cell]
Se: 0.281 0.279 0.190 [2 per cell]



[10]
# ZrNp3Tl4Se8

ZrNp3Tl4Se8 after structural relaxation (PBE, the Alexandria database).

Computed properties:
total energy	-298.20	eV/cell

Lattice parameters (Å, degrees): 8.2437 8.2437 23.5536 90.00 90.00 120.00
Space group R-3m (No. 166, hexagonal axes)
Unique sites:
Zr: 0.0000 0.0000 0.0000 [3 per cell]
Np: 0.0000 0.5000 0.0000 [9 per cell]
Tl: 0.0000 0.0000 0.5000 [3 per cell]
Tl: 0.0000 0.5000 0.5000 [9 per cell]
Se: 0.0000 0.0000 0.2642 [6 per cell]
Se: 0.0138 0.5069 0.7340 [18 per cell]



[11]
# ZrNpTl2Se4

ZrNpTl2Se4 after structural relaxation (PBE, the Alexandria database).

Computed properties:
total energy	-47.63	eV/cell

Lattice parameters (Å, degrees): 6.978 4.020 8.261 90.00 105.87 90.00
Space group P2/m (No. 10)
Unique sites:
Zr: 0.000 0.000 0.000 [1 per cell]
Np: 0.500 0.500 0.000 [1 per cell]
Tl: 0.000 0.500 0.500 [1 per cell]
Tl: 0.500 0.000 0.500 [1 per cell]
Se: 0.220 0.500 0.200 [2 per cell]
Se: 0.252 0.000 0.794 [2 per cell]



[12]
# Zr2NpTl3Se6

Zr2NpTl3Se6 after structural relaxation (PBE, the Alexandria database).

Computed properties:
total energy	-138.71	eV/cell

Lattice parameters (Å, degrees): 6.863 11.903 8.373 90.00 106.03 90.00
Space group C2/m (No. 12)
Unique sites:
Zr: 0.000 0.168 0.000 [4 per cell]
Np: 0.000 0.500 0.000 [2 per cell]
Tl: 0.000 0.000 0.500 [2 per cell]
Tl: 0.000 0.339 0.500 [4 per cell]
Se: 0.218 0.000 0.198 [4 per cell]
Se: 0.242 0.326 0.202 [8 per cell]



- Look up the total energy of the fourth one.
  -139.81 eV/cell